DFT (GGA-PBE) results for crystalline SmScB4 at its relaxed geometry.

Cell and atoms, written as CIF:
```
data_SmScB4
_chemical_formula_sum 'Sm2 Sc2 B8'
_space_group_name_H-M_alt 'I m m m'
_space_group_IT_number 71
_space_group_name_Hall '-I 2 2'
_cell_length_a 3.242
_cell_length_b 5.618
_cell_length_c 7.636
_cell_angle_alpha 90.00
_cell_angle_beta 90.00
_cell_angle_gamma 90.00
loop_
_atom_site_label
_atom_site_type_symbol
_atom_site_fract_x
_atom_site_fract_y
_atom_site_fract_z
Sm1 Sm 0.000 0.000 0.000
Sc1 Sc 0.000 0.000 0.500
B1 B 0.000 0.334 0.247
```

Values from the calculation:
**Total moment**: 0.00 μB/f.u.
**Polymorph energy (0 for the lowest one)**: 6.4 kJ per mole of atoms
**VASP energy**: -6.8280 eV per atom

---

DFT (GGA-PBE) results for crystalline DyYPb4 at its relaxed geometry.

Cell and atoms, written as CIF:
```
data_DyYPb4
_chemical_formula_sum 'Dy2 Y2 Pb8'
_space_group_name_H-M_alt 'A m m 2'
_space_group_IT_number 38
_cell_length_a 3.322
_cell_length_b 6.303
_cell_length_c 19.294
_cell_angle_alpha 90.00
_cell_angle_beta 90.00
_cell_angle_gamma 90.00
loop_
_space_group_symop_operation_xyz
'x,y,z'
'-x,-y,z'
'-x,y,z'
'x,-y,z'
'x,y+1/2,z+1/2'
'-x,-y+1/2,z+1/2'
'-x,y+1/2,z+1/2'
'x,-y+1/2,z+1/2'
loop_
_atom_site_label
_atom_site_type_symbol
_atom_site_fract_x
_atom_site_fract_y
_atom_site_fract_z
Dy1 Dy 0.000 0.000 0.000
Y1 Y 0.000 0.000 0.184
Pb1 Pb 0.000 0.000 0.349
Pb2 Pb 0.000 0.000 0.510
Pb3 Pb 0.000 0.000 0.675
Pb4 Pb 0.000 0.000 0.836
```

Values from the calculation:
**Total moment**: 0.02 μB/f.u.
**VASP energy**: -4.0996 eV per atom

---

DFT (GGA-PBE) results for crystalline GeAu17 at its relaxed geometry.

Cell and atoms, written as CIF:
```
data_GeAu17
_chemical_formula_sum 'Ge4 Au68'
_space_group_name_H-M_alt 'P 1 m 1'
_space_group_IT_number 6
_cell_length_a 10.020
_cell_length_b 5.820
_cell_length_c 35.263
_cell_angle_alpha 90.00
_cell_angle_beta 90.80
_cell_angle_gamma 90.00
loop_
_space_group_symop_operation_xyz
'x,y,z'
'x,-y,z'
loop_
_atom_site_label
_atom_site_type_symbol
_atom_site_fract_x
_atom_site_fract_y
_atom_site_fract_z
Ge1 Ge 0.000 0.000 0.000
Ge2 Ge 0.000 0.500 0.001
Ge3 Ge 0.159 0.500 0.556
Ge4 Ge 0.659 0.500 0.555
Au1 Au 0.074 0.250 0.068
Au2 Au 0.078 0.250 0.278
Au3 Au 0.078 0.252 0.487
Au4 Au 0.160 0.000 0.138
Au5 Au 0.160 0.500 0.138
Au6 Au 0.161 0.000 0.348
Au7 Au 0.162 0.500 0.348
Au8 Au 0.163 0.000 0.558
Au9 Au 0.244 0.250 0.208
Au10 Au 0.245 0.250 0.417
Au11 Au 0.246 0.250 0.998
Au12 Au 0.326 0.000 0.070
Au13 Au 0.326 0.500 0.070
Au14 Au 0.327 0.500 0.488
Au15 Au 0.328 0.000 0.278
Au16 Au 0.328 0.500 0.278
Au17 Au 0.329 0.000 0.487
Au18 Au 0.410 0.250 0.139
Au19 Au 0.411 0.251 0.559
Au20 Au 0.412 0.249 0.348
Au21 Au 0.494 0.000 0.208
Au22 Au 0.494 0.500 0.208
Au23 Au 0.494 0.500 0.417
Au24 Au 0.495 0.000 0.418
Au25 Au 0.496 0.000 0.999
Au26 Au 0.496 0.500 0.999
Au27 Au 0.576 0.250 0.069
Au28 Au 0.578 0.250 0.278
Au29 Au 0.578 0.252 0.487
Au30 Au 0.661 0.000 0.139
Au31 Au 0.661 0.000 0.348
Au32 Au 0.661 0.500 0.139
Au33 Au 0.661 0.500 0.348
Au34 Au 0.663 0.000 0.558
Au35 Au 0.744 0.250 0.209
Au36 Au 0.745 0.250 0.417
Au37 Au 0.748 0.250 0.999
Au38 Au 0.826 0.000 0.070
Au39 Au 0.826 0.500 0.070
Au40 Au 0.827 0.000 0.278
Au41 Au 0.827 0.500 0.488
Au42 Au 0.828 0.500 0.278
Au43 Au 0.829 0.000 0.487
Au44 Au 0.911 0.250 0.140
Au45 Au 0.911 0.251 0.559
Au46 Au 0.912 0.249 0.348
Au47 Au 0.994 0.500 0.417
Au48 Au 0.995 0.000 0.209
Au49 Au 0.995 0.000 0.418
Au50 Au 0.995 0.500 0.209
```

Values from the calculation:
**Polymorph energy (0 for the lowest one)**: 0.1 kJ per mole of atoms
**VASP energy**: -3.2757 eV per atom

---

DFT (GGA-PBE) results for crystalline LaMgZn2 at its relaxed geometry.

Cell and atoms, written as CIF:
```
data_LaMgZn2
_chemical_formula_sum 'La2 Mg2 Zn4'
_space_group_name_H-M_alt 'P 63/m m c'
_space_group_IT_number 194
_space_group_name_Hall '-P 6c 2c'
_cell_length_a 5.0425
_cell_length_b 5.0425
_cell_length_c 8.3463
_cell_angle_alpha 90.00
_cell_angle_beta 90.00
_cell_angle_gamma 120.00
loop_
_atom_site_label
_atom_site_type_symbol
_atom_site_fract_x
_atom_site_fract_y
_atom_site_fract_z
La1 La 0.0000 0.0000 0.0000
Mg1 Mg 0.3333 0.6667 0.2500
Zn1 Zn 0.3333 0.6667 0.6065
```

Values from the calculation:
**Total moment**: 0.00 μB/f.u.
**VASP energy**: -2.4703 eV per atom

---

DFT (GGA-PBE) results for crystalline BaTcO4 at its relaxed geometry.

Cell and atoms, written as CIF:
```
data_BaTcO4
_chemical_formula_sum 'Ba4 Tc4 O16'
_space_group_name_H-M_alt 'C m c m'
_space_group_IT_number 63
_space_group_name_Hall '-C 2c 2'
_cell_length_a 3.990
_cell_length_b 14.092
_cell_length_c 5.802
_cell_angle_alpha 90.00
_cell_angle_beta 90.00
_cell_angle_gamma 90.00
loop_
_atom_site_label
_atom_site_type_symbol
_atom_site_fract_x
_atom_site_fract_y
_atom_site_fract_z
Ba1 Ba 0.000 0.132 0.250
Tc1 Tc 0.000 0.402 0.250
O1 O 0.000 0.090 0.750
O2 O 0.000 0.314 0.022
O3 O 0.000 0.500 0.000
```

Values from the calculation:
**Total moment**: 0.00 μB/f.u.
**Polymorph energy (0 for the lowest one)**: 11.7 kJ per mole of atoms
**VASP energy**: -7.2488 eV per atom

---

DFT (GGA-PBE) results for crystalline RbZr3N5 at its relaxed geometry.

Cell and atoms, written as CIF:
```
data_RbZr3N5
_chemical_formula_sum 'Rb1 Zr3 N5'
_space_group_name_H-M_alt 'P 6/m m m'
_space_group_IT_number 191
_space_group_name_Hall '-P 6 2'
_cell_length_a 5.6474
_cell_length_b 5.6474
_cell_length_c 6.0944
_cell_angle_alpha 90.00
_cell_angle_beta 90.00
_cell_angle_gamma 120.00
loop_
_atom_site_label
_atom_site_type_symbol
_atom_site_fract_x
_atom_site_fract_y
_atom_site_fract_z
Rb1 Rb 0.0000 0.0000 0.0000
Zr1 Zr 0.0000 0.5000 0.5000
N1 N 0.0000 0.0000 0.5000
N2 N 0.3333 0.6667 0.2746
```

Values from the calculation:
**Total moment**: 1.29 μB/f.u.
**VASP energy**: -7.5508 eV per atom